1.
VASP calculation (GGA-PBEsol) on an optimized crystal structure of In2OsRh.

```
In2OsRh
1.0
10.228 0.000 0.000
0.000 2.949 0.000
-1.782 0.000 4.412
In Os Rh
4 2 2
direct
0.000 0.000 0.000
0.220 0.000 0.600
0.500 0.500 0.000
0.720 0.500 0.600
0.252 0.500 0.112
0.752 0.000 0.112
0.467 0.000 0.488
0.967 0.500 0.488
```

Values from the calculation:
* V: 16.6 A^3/atom
* calculated density: 13.05 g/cm3
* excess energy over the best structure of this formula in the dataset: 0.000 eV per atom
* space-group type: Cm
* energy of formation: 106 meV per atom

2.
VASP calculation (GGA-PBEsol) on an optimized crystal structure of Cs3TlRu.

```
Cs3TlRu
1.0
5.803 0.000 0.000
0.000 5.803 0.000
0.000 0.000 5.803
Cs Tl Ru
3 1 1
direct
0.000 0.000 0.500
0.000 0.500 0.000
0.500 0.000 0.000
0.500 0.500 0.500
0.000 0.000 0.000
```

Values from the calculation:
* V: 39.1 A^3/atom
* calculated density: 5.98 g/cm3
* space-group type: Pm-3m
* energy of formation: 896 meV per atom

3.
VASP calculation (GGA-PBEsol) on an optimized crystal structure of NaLi2Sb2.

```
NaLi2Sb2
1.0
4.496 0.000 0.000
0.000 4.496 0.000
0.000 0.000 11.866
Na Li Sb
2 4 4
direct
0.000 0.000 0.000
0.500 0.500 0.500
0.000 0.500 0.250
0.000 0.500 0.750
0.500 0.000 0.250
0.500 0.000 0.750
0.000 0.000 0.385
0.000 0.000 0.615
0.500 0.500 0.115
0.500 0.500 0.885
```

Values from the calculation:
* raw formation energy: -2.03 eV/f.u.
* V: 24.0 A^3/atom
* calculated density: 3.88 g/cm3
* excess energy over the best structure of this formula in the dataset: 0.026 eV per atom
* space-group type: I4/mmm

4.
VASP calculation (GGA-PBEsol) on an optimized crystal structure of LiPtPb.

```
LiPtPb
1.0
6.296 0.000 0.000
0.000 6.296 0.000
0.000 0.000 6.296
Li Pt Pb
4 4 4
direct
0.000 0.000 0.000
0.000 0.500 0.500
0.500 0.000 0.500
0.500 0.500 0.000
0.250 0.250 0.250
0.250 0.750 0.750
0.750 0.250 0.750
0.750 0.750 0.250
0.000 0.000 0.500
0.000 0.500 0.000
0.500 0.000 0.000
0.500 0.500 0.500
```

Values from the calculation:
* V: 20.8 A^3/atom
* calculated density: 10.89 g/cm3
* space-group type: F-43m
* energy of formation: -288 meV per atom

5.
VASP calculation (GGA-PBEsol) on an optimized crystal structure of TlIn2Co.

```
TlIn2Co
1.0
6.894 0.000 0.000
0.000 6.894 0.000
0.000 0.000 6.894
Tl In Co
4 8 4
direct
0.000 0.000 0.000
0.000 0.500 0.500
0.500 0.000 0.500
0.500 0.500 0.000
0.000 0.000 0.500
0.000 0.500 0.000
0.250 0.250 0.750
0.250 0.750 0.250
0.500 0.000 0.000
0.500 0.500 0.500
0.750 0.250 0.250
0.750 0.750 0.750
0.250 0.250 0.250
0.250 0.750 0.750
0.750 0.250 0.750
0.750 0.750 0.250
```

Values from the calculation:
* V: 20.5 A^3/atom
* calculated density: 9.99 g/cm3
* excess energy over the best structure of this formula in the dataset: 0.035 eV per atom
* space-group type: F-43m
* energy of formation: 529 meV per atom

6.
VASP calculation (GGA-PBEsol) on an optimized crystal structure of InMo2As.

```
InMo2As
1.0
8.466 0.000 0.000
0.000 3.046 0.000
-1.155 0.000 5.213
In Mo As
2 4 2
direct
0.000 0.000 0.000
0.500 0.500 0.000
0.239 0.000 0.717
0.261 0.500 0.283
0.739 0.500 0.717
0.761 0.000 0.283
0.000 0.500 0.500
0.500 0.000 0.500
```

Values from the calculation:
* V: 16.8 A^3/atom
* calculated density: 9.43 g/cm3
* excess energy over the best structure of this formula in the dataset: 0.107 eV per atom
* space-group type: C2/m
* energy of formation: 308 meV per atom

7.
VASP calculation (GGA-PBEsol) on an optimized crystal structure of MnCo3.

```
MnCo3
1.0
2.767 0.000 0.000
0.000 3.969 0.000
0.000 0.000 7.956
Mn Co
2 6
direct
0.000 0.000 0.000
0.500 0.500 0.500
0.000 0.000 0.500
0.000 0.500 0.249
0.000 0.500 0.751
0.500 0.000 0.251
0.500 0.000 0.749
0.500 0.500 0.000
```

Values from the calculation:
* V: 10.9 A^3/atom
* calculated density: 8.81 g/cm3
* space-group type: Immm
* energy of formation: 118 meV per atom

8.
VASP calculation (GGA-PBEsol) on an optimized crystal structure of RbCoSeBr2.

```
RbCoSeBr2
1.0
6.045 0.000 0.000
0.000 6.045 0.000
0.000 0.000 5.934
Rb Co Se Br
1 1 1 2
direct
0.000 0.000 0.000
0.500 0.500 0.500
0.000 0.000 0.500
0.000 0.500 0.000
0.500 0.000 0.000
```

Values from the calculation:
* raw formation energy: 5.37 eV/f.u.
* V: 43.4 A^3/atom
* calculated density: 2.93 g/cm3
* space-group type: P4/mmm

9.
VASP calculation (GGA-PBEsol) on an optimized crystal structure of Cr2SiAu.

```
Cr2SiAu
1.0
2.971 0.000 0.000
0.000 2.971 0.000
0.000 0.000 5.984
Cr Si Au
2 1 1
direct
0.000 0.000 0.000
0.500 0.500 0.205
0.000 0.000 0.423
0.500 0.500 0.701
```

Values from the calculation:
* raw formation energy: 0.37 eV/f.u.
* V: 13.2 A^3/atom
* calculated density: 10.34 g/cm3
* space-group type: P4mm

10.
VASP calculation (GGA-PBEsol) on an optimized crystal structure of Ru2PtO2.

```
Ru2PtO2
1.0
3.872 0.000 0.000
0.000 3.872 0.000
0.000 0.000 7.830
Ru Pt O
4 2 4
direct
0.000 0.500 0.250
0.000 0.500 0.750
0.500 0.000 0.250
0.500 0.000 0.750
0.000 0.000 0.000
0.500 0.500 0.500
0.000 0.000 0.349
0.000 0.000 0.651
0.500 0.500 0.151
0.500 0.500 0.849
```

Values from the calculation:
* raw formation energy: 1.04 eV/f.u.
* V: 11.7 A^3/atom
* calculated density: 12.15 g/cm3
* space-group type: I4/mmm

11.
VASP calculation (GGA-PBEsol) on an optimized crystal structure of InGeCl3.

```
InGeCl3
1.0
7.793 0.000 0.000
0.000 7.108 0.000
-0.124 0.000 5.224
In Ge Cl
2 2 6
direct
0.000 0.000 0.000
0.500 0.500 0.000
0.091 0.500 0.447
0.591 0.000 0.447
0.117 0.500 0.969
0.381 0.249 0.442
0.381 0.751 0.442
0.617 0.000 0.969
0.881 0.251 0.442
0.881 0.749 0.442
```

Values from the calculation:
* raw formation energy: -3.78 eV/f.u.
* V: 28.9 A^3/atom
* calculated density: 3.37 g/cm3
* space-group type: Cm

12.
VASP calculation (GGA-PBEsol) on an optimized crystal structure of ReGe2Au.

```
ReGe2Au
1.0
6.305 0.000 0.000
0.000 6.305 0.000
0.000 0.000 6.305
Re Ge Au
4 8 4
direct
0.000 0.000 0.000
0.000 0.500 0.500
0.500 0.000 0.500
0.500 0.500 0.000
0.250 0.250 0.250
0.250 0.250 0.750
0.250 0.750 0.250
0.250 0.750 0.750
0.750 0.250 0.250
0.750 0.250 0.750
0.750 0.750 0.250
0.750 0.750 0.750
0.000 0.000 0.500
0.000 0.500 0.000
0.500 0.000 0.000
0.500 0.500 0.500
```

Values from the calculation:
* V: 15.7 A^3/atom
* calculated density: 14.00 g/cm3
* space-group type: Fm-3m
* energy of formation: 507 meV per atom

Repeat the sixth record exactly.
VASP calculation (GGA-PBEsol) on an optimized crystal structure of InMo2As.

```
InMo2As
1.0
8.466 0.000 0.000
0.000 3.046 0.000
-1.155 0.000 5.213
In Mo As
2 4 2
direct
0.000 0.000 0.000
0.500 0.500 0.000
0.239 0.000 0.717
0.261 0.500 0.283
0.739 0.500 0.717
0.761 0.000 0.283
0.000 0.500 0.500
0.500 0.000 0.500
```

Values from the calculation:
* V: 16.8 A^3/atom
* calculated density: 9.43 g/cm3
* excess energy over the best structure of this formula in the dataset: 0.107 eV per atom
* space-group type: C2/m
* energy of formation: 308 meV per atom

Q: Number 1 is which compound?
A: In2OsRh

Q: Which of these has the lowest V?
A: MnCo3

Q: What is the calculated density in the eleventh record?
A: 3.37 g/cm3